(1)
Below is an optimized crystal structure of Ba2SbOs, with properties calculated at the PBE level.

a = 4.6143 Å, b = 4.6143 Å, c = 9.4279 Å
α = 74.97°, β = 74.97°, γ = 60.12°
Closest atoms and distances in Å follow each position.
Element x y z (fractional)
1 Os 0.4578 0.4578 0.6251  3 Sb 2.67
2 Sb 0.7916 0.7916 0.6249  3 Os 2.67
3 Ba 0.2118 0.2118 0.3806  3 Os 3.45-3.46, 3 Sb 3.45-3.46
4 Ba 0.0388 0.0388 0.8693  3 Os 3.45-3.46, 3 Sb 3.45-3.46

Computed properties:
- ΔE_f (raw) (eV/atom) = -0.10
- N(E_F) (states/eV per atom) = 1.02
- calculated total energy (eV/atom) = -4.90

(2)
Below is an optimized crystal structure of BaSbOs4, with properties calculated at the PBE level.

a = 5.4754 Å, b = 5.4754 Å, c = 5.4754 Å
α = 60.00°, β = 60.00°, γ = 60.00°
Closest atoms and distances in Å follow each position.
Element x y z (fractional)
1 Os 0.3763 0.3763 0.8712  6 Os 2.71-2.77
2 Os 0.3763 0.8712 0.3763  6 Os 2.71-2.77
3 Os 0.3763 0.3763 0.3763  6 Os 2.71-2.77
4 Os 0.8712 0.3763 0.3763  6 Os 2.71-2.77
5 Ba 0.0000 0.0000 0.0000  12 Os 3.21, 4 Sb 3.35
6 Sb 0.7500 0.7500 0.7500  12 Os 3.21, 4 Ba 3.35

Computed properties:
- ΔE_f (raw) (eV/atom) = 0.87
- N(E_F) (states/eV per atom) = 1.51
- calculated total energy (eV/atom) = -7.62

(3)
Below is an optimized crystal structure of BaSbOs2, with properties calculated at the PBE level.

a = 4.7542 Å, b = 4.7542 Å, c = 6.4129 Å
α = 69.47°, β = 69.47°, γ = 55.55°
Closest atoms and distances in Å follow each position.
Element x y z (fractional)
1 Sb 0.2500 0.2500 0.2500  6 Os 2.67-2.71
2 Os 0.5524 0.5524 0.2960  2 Os 2.54, 3 Sb 2.67-2.71
3 Os 0.9476 0.9476 0.2040  2 Os 2.54, 3 Sb 2.67-2.71
4 Ba 0.7500 0.7500 0.7500  2 Os 3.23

Computed properties:
- ΔE_f (raw) (eV/atom) = 0.39
- N(E_F) (states/eV per atom) = 1.24
- calculated total energy (eV/atom) = -6.74

(4)
Below is an optimized crystal structure of BaSbOs2, with properties calculated at the PBE level.

a = 3.1570 Å, b = 3.1570 Å, c = 8.8861 Å
α = 90.00°, β = 90.00°, γ = 90.00°
Closest atoms and distances in Å follow each position.
Element x y z (fractional)
1 Os 0.5000 0.5000 0.2224  4 Os 2.64, 4 Sb 2.92
2 Os 0.0000 0.0000 0.0635  4 Os 2.64
3 Ba 0.5000 0.5000 0.7805  4 Ba 3.16, 4 Os 3.36
4 Sb 0.0000 0.0000 0.4336  4 Os 2.92, 4 Sb 3.16

Computed properties:
- ΔE_f (raw) (eV/atom) = 0.51
- N(E_F) (states/eV per atom) = 0.64
- calculated total energy (eV/atom) = -6.61